A plane-wave DFT calculation with GGA-PBE was carried out for crystalline CeSeI at its relaxed geometry.

ΔE_f (raw), eV/atom: -1.53
Symmetry: P3m1
Total DFT energy (no corrections), eV/atom: -5.19
DOS(E_F), states/eV/cell: 7.572
Size of the total moment, μB per atom: 0.333

a b c (Å): 4.467 4.467 7.075
angles (deg): 90.00 90.00 120.00
Fractional coordinates of all 3 atoms:
Se 0.333 0.667 0.550
I 0.000 0.000 0.080
Ce 0.667 0.333 0.369